No. 1
NdZnCu | PBE-GGA | relaxed

Cell and atoms, written as CIF:
```
data_NdZnCu
_cell_length_a 4.4411
_cell_length_b 4.4411
_cell_length_c 3.6731
_cell_angle_alpha 90.00
_cell_angle_beta 90.00
_cell_angle_gamma 120.00
_space_group_name_H-M_alt 'P -6 m 2'
_space_group_IT_number 187
_space_group_name_Hall 'P -6 2'
loop_
_atom_site_label
_atom_site_type_symbol
_atom_site_fract_x
_atom_site_fract_y
_atom_site_fract_z
Nd1 Nd 0.0000 0.0000 0.0000
Zn1 Zn 0.3333 0.6667 0.5000
Cu1 Cu 0.6667 0.3333 0.5000
```

Values from the calculation:
M_tot	0.00	μB per cell
energy of formation from the pure elements	-0.276	eV per atom



No. 2
NdZn3Cu2 | PBE-GGA | relaxed

Cell and atoms, written as CIF:
```
data_NdZn3Cu2
_cell_length_a 15.176
_cell_length_b 4.168
_cell_length_c 7.517
_cell_angle_alpha 90.00
_cell_angle_beta 116.34
_cell_angle_gamma 90.00
_space_group_name_H-M_alt 'C 1 2/m 1'
_space_group_IT_number 12
loop_
_space_group_symop_operation_xyz
'x,y,z'
'-x,-y,-z'
'-x,y,-z'
'x,-y,z'
'x+1/2,y+1/2,z'
'-x+1/2,-y+1/2,-z'
'-x+1/2,y+1/2,-z'
'x+1/2,-y+1/2,z'
loop_
_atom_site_label
_atom_site_type_symbol
_atom_site_fract_x
_atom_site_fract_y
_atom_site_fract_z
Nd1 Nd 0.148 0.000 0.070
Zn1 Zn 0.033 0.000 0.365
Zn2 Zn 0.103 0.500 0.695
Zn3 Zn 0.186 0.500 0.455
Cu1 Cu 0.019 0.500 0.171
Cu2 Cu 0.193 0.000 0.684
```

Values from the calculation:
M_tot	0.00	μB per cell
energy of formation from the pure elements	-0.192	eV per atom



No. 3
Nd3Zn2Cu | PBE-GGA | relaxed

Cell and atoms, written as CIF:
```
data_Nd3Zn2Cu
_cell_length_a 5.178
_cell_length_b 15.481
_cell_length_c 3.661
_cell_angle_alpha 90.00
_cell_angle_beta 90.00
_cell_angle_gamma 90.00
_space_group_name_H-M_alt 'C m m m'
_space_group_IT_number 65
_space_group_name_Hall '-C 2 2'
loop_
_atom_site_label
_atom_site_type_symbol
_atom_site_fract_x
_atom_site_fract_y
_atom_site_fract_z
Nd1 Nd 0.000 0.000 0.000
Nd2 Nd 0.000 0.338 0.000
Zn1 Zn 0.000 0.173 0.500
Cu1 Cu 0.000 0.500 0.500
```

Values from the calculation:
M_tot	0.00	μB per cell
energy of formation from the pure elements	-0.250	eV per atom



No. 4
NdZn2Cu9 | PBE-GGA | relaxed

Cell and atoms, written as CIF:
```
data_NdZn2Cu9
_cell_length_a 10.164
_cell_length_b 10.164
_cell_length_c 6.623
_cell_angle_alpha 90.00
_cell_angle_beta 90.00
_cell_angle_gamma 90.00
_space_group_name_H-M_alt 'I 41/a m d'
_space_group_IT_number 141
loop_
_space_group_symop_operation_xyz
'x,y,z'
'-x,-y,-z'
'-y+1/4,x+3/4,z+1/4'
'y+1/4,-x+3/4,-z+1/4'
'-x+1/2,-y,z+1/2'
'x+1/2,y,-z+1/2'
'y+1/4,-x+1/4,z+3/4'
'-y+1/4,x+1/4,-z+3/4'
'x,-y,-z'
'-x,y,z'
'-y+1/4,-x+1/4,-z+3/4'
'y+1/4,x+1/4,z+3/4'
'-x+1/2,y,-z+1/2'
'x+1/2,-y,z+1/2'
'y+1/4,x+3/4,-z+1/4'
'-y+1/4,-x+3/4,z+1/4'
'x+1/2,y+1/2,z+1/2'
'-x+1/2,-y+1/2,-z+1/2'
'-y+3/4,x+1/4,z+3/4'
'y+3/4,-x+1/4,-z+3/4'
'-x,-y+1/2,z'
'x,y+1/2,-z'
'y+3/4,-x+3/4,z+1/4'
'-y+3/4,x+3/4,-z+1/4'
'x+1/2,-y+1/2,-z+1/2'
'-x+1/2,y+1/2,z+1/2'
'-y+3/4,-x+3/4,-z+1/4'
'y+3/4,x+3/4,z+1/4'
'-x,y+1/2,-z'
'x,-y+1/2,z'
'y+3/4,x+1/4,-z+3/4'
'-y+3/4,-x+1/4,z+3/4'
loop_
_atom_site_label
_atom_site_type_symbol
_atom_site_fract_x
_atom_site_fract_y
_atom_site_fract_z
Nd1 Nd 0.000 0.250 0.375
Zn1 Zn 0.000 0.000 0.000
Cu1 Cu 0.000 0.250 0.875
Cu2 Cu 0.123 0.042 0.681
```

Values from the calculation:
M_tot	0.00	μB per cell
energy of formation from the pure elements	-0.114	eV per atom
energy relative to the lowest polymorph listed for this composition	0.00	eV per formula unit



No. 5
Nd2Zn7Cu | PBE-GGA | relaxed

Cell and atoms, written as CIF:
```
data_Nd2Zn7Cu
_cell_length_a 4.260
_cell_length_b 4.260
_cell_length_c 10.441
_cell_angle_alpha 90.00
_cell_angle_beta 90.00
_cell_angle_gamma 90.00
_space_group_name_H-M_alt 'P -4 m 2'
_space_group_IT_number 115
loop_
_space_group_symop_operation_xyz
'x,y,z'
'y,-x,-z'
'-x,-y,z'
'-y,x,-z'
'-x,y,z'
'-y,-x,-z'
'x,-y,z'
'y,x,-z'
loop_
_atom_site_label
_atom_site_type_symbol
_atom_site_fract_x
_atom_site_fract_y
_atom_site_fract_z
Nd1 Nd 0.000 0.500 0.247
Zn1 Zn 0.000 0.000 0.000
Zn2 Zn 0.000 0.000 0.500
Zn3 Zn 0.000 0.500 0.634
Zn4 Zn 0.000 0.500 0.871
Zn5 Zn 0.500 0.500 0.500
Cu1 Cu 0.500 0.500 0.000
```

Values from the calculation:
M_tot	0.00	μB per cell
energy of formation from the pure elements	-0.280	eV per atom



No. 6
Nd4ZnCu | PBE-GGA | relaxed

Cell and atoms, written as CIF:
```
data_Nd4ZnCu
_cell_length_a 3.676
_cell_length_b 3.676
_cell_length_c 12.482
_cell_angle_alpha 90.00
_cell_angle_beta 90.00
_cell_angle_gamma 90.00
_space_group_name_H-M_alt 'P 4/m m m'
_space_group_IT_number 123
_space_group_name_Hall '-P 4 2'
loop_
_atom_site_label
_atom_site_type_symbol
_atom_site_fract_x
_atom_site_fract_y
_atom_site_fract_z
Nd1 Nd 0.000 0.000 0.136
Nd2 Nd 0.500 0.500 0.355
Zn1 Zn 0.000 0.000 0.500
Cu1 Cu 0.500 0.500 0.000
```

Values from the calculation:
M_tot	0.00	μB per cell
energy of formation from the pure elements	-0.132	eV per atom
energy relative to the lowest polymorph listed for this composition	0.00	eV per formula unit



No. 7
Nd8Zn2Cu | PBE-GGA | relaxed

Cell and atoms, written as CIF:
```
data_Nd8Zn2Cu
_cell_length_a 5.123
_cell_length_b 8.722
_cell_length_c 14.285
_cell_angle_alpha 90.00
_cell_angle_beta 90.00
_cell_angle_gamma 90.00
_space_group_name_H-M_alt 'I m m m'
_space_group_IT_number 71
_space_group_name_Hall '-I 2 2'
loop_
_atom_site_label
_atom_site_type_symbol
_atom_site_fract_x
_atom_site_fract_y
_atom_site_fract_z
Nd1 Nd 0.000 0.000 0.129
Nd2 Nd 0.000 0.220 0.341
Nd3 Nd 0.000 0.331 0.000
Zn1 Zn 0.000 0.500 0.200
Cu1 Cu 0.000 0.500 0.500
```

Values from the calculation:
M_tot	0.00	μB per cell
energy of formation from the pure elements	-0.009	eV per atom
energy relative to the lowest polymorph listed for this composition	0.99	eV per formula unit



No. 8
Nd2ZnCu6 | PBE-GGA | relaxed

Cell and atoms, written as CIF:
```
data_Nd2ZnCu6
_cell_length_a 5.5815
_cell_length_b 5.5815
_cell_length_c 5.7036
_cell_angle_alpha 90.00
_cell_angle_beta 90.00
_cell_angle_gamma 120.00
_space_group_name_H-M_alt 'P -3 m 1'
_space_group_IT_number 164
_space_group_name_Hall '-P 3 2"'
loop_
_atom_site_label
_atom_site_type_symbol
_atom_site_fract_x
_atom_site_fract_y
_atom_site_fract_z
Nd1 Nd 0.3333 0.6667 0.3430
Zn1 Zn 0.0000 0.0000 0.5000
Cu1 Cu 0.1793 0.3586 0.8419
```

Values from the calculation:
M_tot	0.00	μB per cell
energy of formation from the pure elements	-0.145	eV per atom



No. 9
Nd2ZnCu7 | PBE-GGA | relaxed

Cell and atoms, written as CIF:
```
data_Nd2ZnCu7
_cell_length_a 4.113
_cell_length_b 4.113
_cell_length_c 10.153
_cell_angle_alpha 90.00
_cell_angle_beta 90.00
_cell_angle_gamma 90.00
_space_group_name_H-M_alt 'P -4 m 2'
_space_group_IT_number 115
loop_
_space_group_symop_operation_xyz
'x,y,z'
'y,-x,-z'
'-x,-y,z'
'-y,x,-z'
'-x,y,z'
'-y,-x,-z'
'x,-y,z'
'y,x,-z'
loop_
_atom_site_label
_atom_site_type_symbol
_atom_site_fract_x
_atom_site_fract_y
_atom_site_fract_z
Nd1 Nd 0.000 0.500 0.244
Zn1 Zn 0.000 0.000 0.500
Cu1 Cu 0.000 0.000 0.000
Cu2 Cu 0.000 0.500 0.635
Cu3 Cu 0.000 0.500 0.870
Cu4 Cu 0.500 0.500 0.000
Cu5 Cu 0.500 0.500 0.500
```

Values from the calculation:
M_tot	0.00	μB per cell
energy of formation from the pure elements	-0.138	eV per atom



No. 10
NdZn2Cu4 | PBE-GGA | relaxed

Cell and atoms, written as CIF:
```
data_NdZn2Cu4
_cell_length_a 6.533
_cell_length_b 6.533
_cell_length_c 5.081
_cell_angle_alpha 90.00
_cell_angle_beta 90.00
_cell_angle_gamma 90.00
_space_group_name_H-M_alt 'I 4/m m m'
_space_group_IT_number 139
_space_group_name_Hall '-I 4 2'
loop_
_atom_site_label
_atom_site_type_symbol
_atom_site_fract_x
_atom_site_fract_y
_atom_site_fract_z
Nd1 Nd 0.000 0.000 0.000
Zn1 Zn 0.000 0.500 0.250
Cu1 Cu 0.189 0.189 0.500
```

Values from the calculation:
M_tot	0.00	μB per cell
energy of formation from the pure elements	-0.209	eV per atom
energy relative to the lowest polymorph listed for this composition	0.00	eV per formula unit



No. 11
Nd2ZnCu5 | PBE-GGA | relaxed

Cell and atoms, written as CIF:
```
data_Nd2ZnCu5
_cell_length_a 4.220
_cell_length_b 15.478
_cell_length_c 8.957
_cell_angle_alpha 90.00
_cell_angle_beta 90.00
_cell_angle_gamma 90.00
_space_group_name_H-M_alt 'C m c m'
_space_group_IT_number 63
_space_group_name_Hall '-C 2c 2'
loop_
_atom_site_label
_atom_site_type_symbol
_atom_site_fract_x
_atom_site_fract_y
_atom_site_fract_z
Nd1 Nd 0.000 0.000 0.000
Nd2 Nd 0.000 0.210 0.250
Zn1 Zn 0.000 0.440 0.750
Cu1 Cu 0.000 0.178 0.613
Cu2 Cu 0.000 0.344 0.520
Cu3 Cu 0.000 0.400 0.250
```

Values from the calculation:
M_tot	0.00	μB per cell
energy of formation from the pure elements	-0.177	eV per atom
energy relative to the lowest polymorph listed for this composition	0.00	eV per formula unit



No. 12
NdZn12Cu4 | PBE-GGA | relaxed

Cell and atoms, written as CIF:
```
data_NdZn12Cu4
_cell_length_a 8.543
_cell_length_b 8.543
_cell_length_c 8.543
_cell_angle_alpha 90.00
_cell_angle_beta 90.00
_cell_angle_gamma 90.00
_space_group_name_H-M_alt 'I m -3'
_space_group_IT_number 204
_space_group_name_Hall '-I 2 2 3'
loop_
_atom_site_label
_atom_site_type_symbol
_atom_site_fract_x
_atom_site_fract_y
_atom_site_fract_z
Nd1 Nd 0.000 0.000 0.000
Zn1 Zn 0.000 0.159 0.352
Cu1 Cu 0.250 0.250 0.250
```

Values from the calculation:
M_tot	0.00	μB per cell
energy of formation from the pure elements	0.147	eV per atom



No. 13
Nd3Zn2Cu4 | PBE-GGA | relaxed

Cell and atoms, written as CIF:
```
data_Nd3Zn2Cu4
_cell_length_a 10.644
_cell_length_b 4.388
_cell_length_c 8.452
_cell_angle_alpha 90.00
_cell_angle_beta 110.58
_cell_angle_gamma 90.00
_space_group_name_H-M_alt 'C 1 2/m 1'
_space_group_IT_number 12
loop_
_space_group_symop_operation_xyz
'x,y,z'
'-x,-y,-z'
'-x,y,-z'
'x,-y,z'
'x+1/2,y+1/2,z'
'-x+1/2,-y+1/2,-z'
'-x+1/2,y+1/2,-z'
'x+1/2,-y+1/2,z'
loop_
_atom_site_label
_atom_site_type_symbol
_atom_site_fract_x
_atom_site_fract_y
_atom_site_fract_z
Nd1 Nd 0.000 0.000 0.000
Nd2 Nd 0.160 0.500 0.675
Zn1 Zn 0.123 0.500 0.289
Cu1 Cu 0.064 0.000 0.398
Cu2 Cu 0.223 0.500 0.056
```

Values from the calculation:
M_tot	0.00	μB per cell
energy of formation from the pure elements	-0.251	eV per atom
energy relative to the lowest polymorph listed for this composition	0.00	eV per formula unit



No. 14
Nd5ZnCu2 | PBE-GGA | relaxed

Cell and atoms, written as CIF:
```
data_Nd5ZnCu2
_cell_length_a 8.193
_cell_length_b 8.193
_cell_length_c 12.688
_cell_angle_alpha 90.00
_cell_angle_beta 90.00
_cell_angle_gamma 90.00
_space_group_name_H-M_alt 'I 4/m c m'
_space_group_IT_number 140
_space_group_name_Hall '-I 4 2c'
loop_
_atom_site_label
_atom_site_type_symbol
_atom_site_fract_x
_atom_site_fract_y
_atom_site_fract_z
Nd1 Nd 0.000 0.000 0.000
Nd2 Nd 0.158 0.342 0.145
Zn1 Zn 0.000 0.000 0.250
Cu1 Cu 0.125 0.375 0.500
```

Values from the calculation:
M_tot	0.00	μB per cell
energy of formation from the pure elements	-0.123	eV per atom



No. 15
NdZn6Cu12 | PBE-GGA | relaxed

Cell and atoms, written as CIF:
```
data_NdZn6Cu12
_cell_length_a 10.6119
_cell_length_b 10.6119
_cell_length_c 8.6968
_cell_angle_alpha 90.00
_cell_angle_beta 90.00
_cell_angle_gamma 120.00
_space_group_name_H-M_alt 'R -3 m'
_space_group_IT_number 166
_space_group_name_Hall '-R 3 2"'
loop_
_atom_site_label
_atom_site_type_symbol
_atom_site_fract_x
_atom_site_fract_y
_atom_site_fract_z
Nd1 Nd 0.0000 0.0000 0.0000
Zn1 Zn 0.0581 0.5291 0.2450
Cu1 Cu 0.0000 0.3896 0.5000
Cu2 Cu 0.0869 0.1739 0.2898
```

Values from the calculation:
M_tot	0.00	μB per cell
energy of formation from the pure elements	0.031	eV per atom



No. 16
Nd8Zn2Cu | PBE-GGA | relaxed

Cell and atoms, written as CIF:
```
data_Nd8Zn2Cu
_cell_length_a 18.298
_cell_length_b 5.222
_cell_length_c 6.907
_cell_angle_alpha 90.00
_cell_angle_beta 103.02
_cell_angle_gamma 90.00
_space_group_name_H-M_alt 'C 1 2/m 1'
_space_group_IT_number 12
loop_
_space_group_symop_operation_xyz
'x,y,z'
'-x,-y,-z'
'-x,y,-z'
'x,-y,z'
'x+1/2,y+1/2,z'
'-x+1/2,-y+1/2,-z'
'-x+1/2,y+1/2,-z'
'x+1/2,-y+1/2,z'
loop_
_atom_site_label
_atom_site_type_symbol
_atom_site_fract_x
_atom_site_fract_y
_atom_site_fract_z
Nd1 Nd 0.026 0.000 0.274
Nd2 Nd 0.090 0.500 0.950
Nd3 Nd 0.160 0.500 0.464
Nd4 Nd 0.201 0.000 0.813
Zn1 Zn 0.191 0.000 0.238
Cu1 Cu 0.000 0.500 0.500
```

Values from the calculation:
M_tot	0.00	μB per cell
energy of formation from the pure elements	-0.099	eV per atom
energy relative to the lowest polymorph listed for this composition	0.00	eV per formula unit



No. 17
NdZn4Cu8 | PBE-GGA | relaxed

Cell and atoms, written as CIF:
```
data_NdZn4Cu8
_cell_length_a 8.710
_cell_length_b 8.710
_cell_length_c 4.931
_cell_angle_alpha 90.00
_cell_angle_beta 90.00
_cell_angle_gamma 90.00
_space_group_name_H-M_alt 'I 4/m m m'
_space_group_IT_number 139
_space_group_name_Hall '-I 4 2'
loop_
_atom_site_label
_atom_site_type_symbol
_atom_site_fract_x
_atom_site_fract_y
_atom_site_fract_z
Nd1 Nd 0.000 0.000 0.000
Zn1 Zn 0.250 0.250 0.250
Cu1 Cu 0.000 0.225 0.500
Cu2 Cu 0.000 0.357 0.000
```

Values from the calculation:
M_tot	0.00	μB per cell
energy of formation from the pure elements	-0.113	eV per atom



No. 18
Nd2Zn5Cu12 | PBE-GGA | relaxed

Cell and atoms, written as CIF:
```
data_Nd2Zn5Cu12
_cell_length_a 8.7548
_cell_length_b 8.7548
_cell_length_c 12.7700
_cell_angle_alpha 90.00
_cell_angle_beta 90.00
_cell_angle_gamma 120.00
_space_group_name_H-M_alt 'R -3 m'
_space_group_IT_number 166
_space_group_name_Hall '-R 3 2"'
loop_
_atom_site_label
_atom_site_type_symbol
_atom_site_fract_x
_atom_site_fract_y
_atom_site_fract_z
Nd1 Nd 0.0000 0.0000 0.1489
Zn1 Zn 0.0000 0.0000 0.4007
Zn2 Zn 0.0000 0.5000 0.0000
Cu1 Cu 0.0000 0.2990 0.5000
Cu2 Cu 0.0005 0.5002 0.3458
```

Values from the calculation:
M_tot	0.00	μB per cell
energy of formation from the pure elements	-0.149	eV per atom



No. 19
Nd2Zn4Cu5 | PBE-GGA | relaxed

Cell and atoms, written as CIF:
```
data_Nd2Zn4Cu5
_cell_length_a 5.417
_cell_length_b 9.042
_cell_length_c 15.688
_cell_angle_alpha 90.00
_cell_angle_beta 90.00
_cell_angle_gamma 90.00
_space_group_name_H-M_alt 'F m m m'
_space_group_IT_number 69
_space_group_name_Hall '-F 2 2'
loop_
_atom_site_label
_atom_site_type_symbol
_atom_site_fract_x
_atom_site_fract_y
_atom_site_fract_z
Nd1 Nd 0.000 0.000 0.137
Zn1 Zn 0.000 0.157 0.372
Cu1 Cu 0.000 0.000 0.500
Cu2 Cu 0.250 0.250 0.000
Cu3 Cu 0.250 0.250 0.250
```

Values from the calculation:
M_tot	0.00	μB per cell
energy of formation from the pure elements	-0.206	eV per atom



No. 20
Nd2ZnCu9 | PBE-GGA | relaxed

Cell and atoms, written as CIF:
```
data_Nd2ZnCu9
_cell_length_a 5.1271
_cell_length_b 5.1271
_cell_length_c 25.0770
_cell_angle_alpha 90.00
_cell_angle_beta 90.00
_cell_angle_gamma 120.00
_space_group_name_H-M_alt 'R -3 m'
_space_group_IT_number 166
_space_group_name_Hall '-R 3 2"'
loop_
_atom_site_label
_atom_site_type_symbol
_atom_site_fract_x
_atom_site_fract_y
_atom_site_fract_z
Nd1 Nd 0.0000 0.0000 0.1339
Zn1 Zn 0.0000 0.0000 0.0000
Cu1 Cu 0.0000 0.0000 0.3327
Cu2 Cu 0.0000 0.0000 0.5000
Cu3 Cu 0.9998 0.4999 0.0794
```

Values from the calculation:
M_tot	0.00	μB per cell
energy of formation from the pure elements	-0.014	eV per atom